VASP calculation (PBE) on a geometry-optimized NaBeCd structure.

Cell and atoms, written as POSCAR:
```
NaBeCd
1.0
4.2968 -0.0019 0.0526
-0.0013 5.2014 -0.0388
2.1202 0.5770 5.5165
Na Be Cd
2 2 2
Cartesian
5.5474 2.4728 4.5922
3.3894 5.1954 5.0675
3.4123 1.0124 1.9386
1.2600 2.0742 1.6650
3.4100 3.4464 1.8325
1.2547 5.0609 2.6233
```

The energy relative to the elements comes out at 226.4 meV/atom. The total energy comes out at -10.6 eV for the cell shown.